A relaxed structure of ZnMo2Pd. Source: Alexandria, functional PBE-GGA.

Crystal system: tetragonal
Electronic total energy in eV/atom: -6.639
DOS(E_F) in states/eV per atom: 0.6881

Lattice parameters (Å, degrees): 3.631 3.631 10.240 79.79 79.79 90.00
Atoms (fractional coordinates):
Mo1 0.616 0.125 0.250
Mo2 0.134 0.625 0.250
Mo3 0.375 0.384 0.750
Mo4 0.875 0.866 0.750
Zn1 0.500 0.500 0.000
Zn2 0.250 0.750 0.500
Pd1 0.000 0.000 0.000
Pd2 0.750 0.250 0.500